# 1
# Er3Tm8Th3

A relaxed Er3Tm8Th3 crystal (PBE, Alexandria via LeMat-Bulk).

## Properties
**Total DFT energy (no corrections)**: -4.973 eV per atom
**Size of the total moment**: 0.00 Bohr magnetons per cell
**Symmetry**: Immm (71)

Lattice parameters (Å, degrees): 5.5673 9.5176 9.5176 102.04 73.01 73.01
Last column: nearest neighbours and their distance in Å.
Atoms (fractional coordinates):
Tm  0.6587  0.1184  0.5642  6 Tm 3.23-3.48, 2 Th 3.53
Tm  0.1581  0.4445  0.2388  5 Tm 3.04-3.36
Tm  0.8419  0.5555  0.7612  5 Tm 3.04-3.36
Tm  0.3413  0.4358  0.8816  6 Tm 3.23-3.48, 2 Th 3.53
Tm  0.3413  0.8816  0.4358  6 Tm 3.23-3.48, 2 Th 3.53
Tm  0.8419  0.7612  0.5555  5 Tm 3.04-3.36
Tm  0.1581  0.2388  0.4445  5 Tm 3.04-3.36
Tm  0.6587  0.5642  0.1184  6 Tm 3.23-3.48, 2 Th 3.53
Th  0.0000  0.1851  0.8149  2 Er 3.44, 8 Tm 3.53-3.66
Th  0.0000  0.8149  0.1851  2 Er 3.44, 8 Tm 3.53-3.66
Th  0.5000  0.0000  0.0000  4 Er 3.47
Er  0.8040  0.1957  0.1957  1 Er 3.23, 4 Th 3.44-3.47, 4 Tm 3.53
Er  0.1960  0.8043  0.8043  1 Er 3.23, 4 Th 3.44-3.47, 4 Tm 3.53
Er  0.5000  0.5000  0.5000  2 Er 3.23, 8 Tm 3.59

# 2
# Ca2CuAu3

A relaxed Ca2CuAu3 crystal (PBE, Alexandria via LeMat-Bulk).

## Properties
**Total DFT energy (no corrections)**: -3.589 eV per atom
**Size of the total moment**: 0.00 Bohr magnetons per cell
**Symmetry**: Fmmm (69)

Lattice parameters (Å, degrees): 5.8956 5.8956 8.7654 104.73 104.73 104.11
Last column: nearest neighbours and their distance in Å.
Atoms (fractional coordinates):
Ca  0.2500  0.7500  0.5000  8 Au 3.17-3.19, 4 Cu 3.23
Ca  0.7500  0.2500  0.5000  8 Au 3.17-3.19, 4 Cu 3.23
Ca  0.2485  0.2485  0.0000  10 Au 3.19-3.33, 2 Cu 3.22
Ca  0.7515  0.7515  0.0000  10 Au 3.19-3.33, 2 Cu 3.22
Au  0.3485  0.8257  0.1742  1 Cu 2.56, 2 Au 2.78-2.79
Au  0.1743  0.6515  0.8258  1 Cu 2.56, 2 Au 2.78-2.79
Au  0.8271  0.8271  0.6543  1 Cu 2.56, 2 Au 2.79
Au  0.6515  0.1743  0.8258  1 Cu 2.56, 2 Au 2.78-2.79
Au  0.8257  0.3485  0.1742  1 Cu 2.56, 2 Au 2.78-2.79
Au  0.1729  0.1729  0.3457  1 Cu 2.56, 2 Au 2.79
Cu  0.3334  0.3334  0.6667  3 Au 2.56
Cu  0.6666  0.6666  0.3333  3 Au 2.56

# 3
# Mg2Ni2As

A relaxed Mg2Ni2As crystal (PBE, Alexandria via LeMat-Bulk).

## Properties
**Energy above the lowest structure with this stoichiometry**: 172 kJ/mol of formula units
**Size of the total moment**: 0.00 Bohr magnetons per cell
**Symmetry**: P4/mbm (127)

Lattice parameters (Å, degrees): 7.4032 7.4032 2.8607 90.00 90.00 90.00
Last column: nearest neighbours and their distance in Å.
Atoms (fractional coordinates):
Ni  0.1456  0.6456  0.5000  6 Mg 2.59-2.60, 2 Ni 2.86
Ni  0.8544  0.3544  0.5000  6 Mg 2.59-2.60, 2 Ni 2.86
Ni  0.3544  0.1456  0.5000  6 Mg 2.59-2.60, 2 Ni 2.86
Ni  0.6456  0.8544  0.5000  6 Mg 2.59-2.60, 2 Ni 2.86
As  0.0000  0.0000  0.0000  4 Mg 2.83, 2 As 2.86
As  0.5000  0.5000  0.0000  4 Mg 2.83, 2 As 2.86
Mg  0.6469  0.1469  0.0000  6 Ni 2.59-2.60, 2 As 2.83, 2 Mg 2.86
Mg  0.1469  0.3531  0.0000  6 Ni 2.59-2.60, 2 As 2.83, 2 Mg 2.86
Mg  0.8531  0.6469  0.0000  6 Ni 2.59-2.60, 2 As 2.83, 2 Mg 2.86
Mg  0.3531  0.8531  0.0000  6 Ni 2.59-2.60, 2 As 2.83, 2 Mg 2.86

# 4
# Ba2Mg3Cd12Pb

A relaxed Ba2Mg3Cd12Pb crystal (PBE, Alexandria via LeMat-Bulk).

## Properties
**Total DFT energy (no corrections)**: -1.356 eV per atom
**Size of the total moment**: 0.00 Bohr magnetons per cell
**Symmetry**: R-3m (166)

Lattice parameters (Å, degrees): 13.0730 13.0730 13.0730 30.77 30.77 30.77
Last column: nearest neighbours and their distance in Å.
Atoms (fractional coordinates):
Cd  0.5896  0.5896  0.1699  2 Mg 2.88, 4 Cd 2.91
Cd  0.1053  0.5967  0.1053  2 Cd 2.91, 1 Pb 3.15
Cd  0.5967  0.1053  0.1053  2 Cd 2.91, 1 Pb 3.15
Cd  0.4104  0.8301  0.4104  2 Mg 2.88, 4 Cd 2.91
Cd  0.8947  0.8947  0.4033  2 Cd 2.91, 1 Pb 3.15
Cd  0.4104  0.4104  0.8301  2 Mg 2.88, 4 Cd 2.91
Cd  0.1053  0.1053  0.5967  2 Cd 2.91, 1 Pb 3.15
Cd  0.4033  0.8947  0.8947  2 Cd 2.91, 1 Pb 3.15
Cd  0.8947  0.4033  0.8947  2 Cd 2.91, 1 Pb 3.15
Cd  0.8301  0.4104  0.4104  2 Mg 2.88, 4 Cd 2.91
Cd  0.1699  0.5896  0.5896  2 Mg 2.88, 4 Cd 2.91
Cd  0.5896  0.1699  0.5896  2 Mg 2.88, 4 Cd 2.91
Mg  0.0000  0.0000  0.5000  4 Cd 2.88
Mg  0.0000  0.5000  0.0000  4 Cd 2.88
Mg  0.5000  0.0000  0.0000  4 Cd 2.88
Ba  0.6413  0.6413  0.6413  12 Cd 3.76-3.88, 3 Pb 4.11
Ba  0.3587  0.3587  0.3587  12 Cd 3.76-3.88, 3 Pb 4.11
Pb  0.0000  0.0000  0.0000  6 Cd 3.15

# 5
# RbTlIn2Br8

A relaxed RbTlIn2Br8 crystal (PBE, Alexandria via LeMat-Bulk).

## Properties
**Total DFT energy (no corrections)**: -2.853 eV per atom
**Size of the total moment**: 0.00 Bohr magnetons per cell
**Symmetry**: I-4 (82)

Lattice parameters (Å, degrees): 7.4071 7.4071 10.1340 111.44 111.44 90.00
Last column: nearest neighbours and their distance in Å.
Atoms (fractional coordinates):
Tl  0.0000  0.0000  0.0000  8 Br 3.47-3.63
Br  0.0854  0.9776  0.6645  1 In 2.56
Br  0.1736  0.5739  0.8409  1 In 2.56
Br  0.4261  0.3327  0.1591  1 In 2.56
Br  0.6673  0.2670  0.8409  1 In 2.56
Br  0.5791  0.6868  0.6645  1 In 2.56
Br  0.7330  0.8264  0.1591  1 In 2.56
Br  0.0224  0.4209  0.3355  1 In 2.56
Br  0.3132  0.9146  0.3355  1 In 2.56
In  0.5000  0.5000  0.0000  4 Br 2.56
In  0.2500  0.7500  0.5000  4 Br 2.56
Rb  0.7500  0.2500  0.5000  8 Br 3.53-3.68

# 6
# AcAsRuS

A relaxed AcAsRuS crystal (PBE, Alexandria via LeMat-Bulk).

## Properties
**Total DFT energy (no corrections)**: -6.622 eV per atom
**Size of the total moment**: 0.00 Bohr magnetons per cell
**Symmetry**: P4/nmm (129)

Lattice parameters (Å, degrees): 4.4683 4.4683 9.3027 90.00 90.00 90.00
Last column: nearest neighbours and their distance in Å.
Atoms (fractional coordinates):
Ac  0.0000  0.5000  0.3094  4 S 2.85
Ac  0.5000  0.0000  0.6906  4 S 2.85
As  0.5000  0.0000  0.1240  4 Ru 2.51
As  0.0000  0.5000  0.8760  4 Ru 2.51
S  0.0000  0.0000  0.5000  4 Ac 2.85, 4 S 3.16
S  0.5000  0.5000  0.5000  4 Ac 2.85, 4 S 3.16
Ru  0.0000  0.0000  0.0000  4 As 2.51
Ru  0.5000  0.5000  0.0000  4 As 2.51

# 7
# MgAgPb2

A relaxed MgAgPb2 crystal (PBE, Alexandria via LeMat-Bulk).

## Properties
**Total DFT energy (no corrections)**: -2.921 eV per atom
**Size of the total moment**: 0.00 Bohr magnetons per cell
**Symmetry**: C2/m (12)

Lattice parameters (Å, degrees): 5.3807 5.3807 5.8228 79.23 79.23 38.01
Last column: nearest neighbours and their distance in Å.
Atoms (fractional coordinates):
Pb  0.0059  0.0059  0.9954  3 Mg 3.13-3.24, 3 Ag 3.14-3.21, 6 Pb 3.37-3.50
Pb  0.4941  0.4941  0.5046  3 Mg 3.13-3.24, 3 Ag 3.14-3.21, 6 Pb 3.37-3.50
Mg  0.2500  0.2500  0.2500  6 Pb 3.13-3.24, 4 Ag 3.40, 2 Mg 3.50
Ag  0.7500  0.7500  0.7500  6 Pb 3.14-3.21, 4 Mg 3.40, 2 Ag 3.50

# 8
# Cu4GeAu

A relaxed Cu4GeAu crystal (PBE, Alexandria via LeMat-Bulk).

## Properties
**Energy above the lowest structure with this stoichiometry**: 19 kJ/mol of formula units
**Size of the total moment**: 0.00 Bohr magnetons per cell
**Symmetry**: P-1 (2)

Lattice parameters (Å, degrees): 3.6889 9.2769 6.4282 98.06 54.97 101.96
Last column: nearest neighbours and their distance in Å.
Atoms (fractional coordinates):
Cu  0.3414  0.4253  0.3695  4 Au 2.61-2.70, 7 Cu 2.65-2.87, 1 Ge 2.68
Cu  0.0048  0.2598  0.1215  2 Ge 2.53, 6 Cu 2.54-2.73, 2 Au 2.68
Cu  0.3086  0.8876  0.1408  3 Ge 2.45-2.65, 5 Cu 2.55-2.67, 1 Au 2.69
Cu  0.4780  0.7412  0.3969  2 Ge 2.52, 6 Cu 2.54-2.73, 2 Au 2.65
Cu  0.6914  0.1124  0.8592  3 Ge 2.45-2.65, 5 Cu 2.55-2.67, 1 Au 2.69
Cu  0.6586  0.5747  0.6305  4 Au 2.61-2.70, 7 Cu 2.65-2.87, 1 Ge 2.68
Cu  0.9952  0.7402  0.8785  2 Ge 2.53, 6 Cu 2.54-2.73, 2 Au 2.68
Cu  0.5220  0.2588  0.6031  2 Ge 2.52, 6 Cu 2.54-2.73, 2 Au 2.65
Au  0.1600  0.5912  0.1369  9 Cu 2.61-2.70, 2 Au 2.84-2.85
Au  0.8400  0.4088  0.8631  9 Cu 2.61-2.70, 2 Au 2.84-2.85
Ge  0.2007  0.1301  0.3582  8 Cu 2.45-2.68
Ge  0.7993  0.8699  0.6418  8 Cu 2.45-2.68

# 9
# PmTmCo

A relaxed PmTmCo crystal (PBE, Alexandria via LeMat-Bulk).

## Properties
**Energy above the lowest structure with this stoichiometry**: 29 kJ/mol of formula units
**Size of the total moment**: 0.00 Bohr magnetons per cell
**Symmetry**: F-43m (216)

Lattice parameters (Å, degrees): 4.7151 4.7151 4.7151 60.00 60.00 60.00
Last column: nearest neighbours and their distance in Å.
Atoms (fractional coordinates):
Tm  0.5000  0.5000  0.5000  4 Co 2.89
Co  0.2500  0.2500  0.2500  4 Pm 2.89, 4 Tm 2.89
Pm  0.0000  0.0000  0.0000  4 Co 2.89

# 10
# SiGeCl

A relaxed SiGeCl crystal (PBE, Alexandria via LeMat-Bulk).

## Properties
**Energy above the lowest structure with this stoichiometry**: 56 kJ/mol of formula units
**Size of the total moment**: 0.00 Bohr magnetons per cell
**Symmetry**: C2/m (12)

Lattice parameters (Å, degrees): 3.4855 3.6209 22.8798 90.00 98.61 90.00
Last column: nearest neighbours and their distance in Å.
Atoms (fractional coordinates):
Ge  0.9458  0.0000  0.9449  1 Ge 2.49, 4 Si 2.60
Ge  0.0542  0.5000  0.5551  1 Ge 2.49, 4 Si 2.60
Ge  0.0542  0.0000  0.0551  1 Ge 2.49, 4 Si 2.60
Ge  0.9458  0.5000  0.4449  1 Ge 2.49, 4 Si 2.60
Si  0.4164  0.5000  0.9150  1 Cl 2.07
Si  0.4164  0.0000  0.4150  1 Cl 2.07
Si  0.5836  0.5000  0.0850  1 Cl 2.07
Si  0.5836  0.0000  0.5850  1 Cl 2.07
Cl  0.6733  0.0000  0.6765  1 Si 2.07
Cl  0.3267  0.0000  0.3235  1 Si 2.07
Cl  0.6733  0.5000  0.1765  1 Si 2.07
Cl  0.3267  0.5000  0.8235  1 Si 2.07

# 11
# NdSmTm2

A relaxed NdSmTm2 crystal (PBE, Alexandria via LeMat-Bulk).

## Properties
**Energy above the lowest structure with this stoichiometry**: 2 kJ/mol of formula units
**Size of the total moment**: 0.00 Bohr magnetons per cell
**Symmetry**: P4/mmm (123)

Lattice parameters (Å, degrees): 4.9833 5.0809 5.0809 90.00 90.00 90.00
Last column: nearest neighbours and their distance in Å.
Atoms (fractional coordinates):
Nd  0.5000  0.0000  0.0000  8 Tm 3.56, 4 Sm 3.59
Tm  0.0000  0.5000  0.0000  4 Nd 3.56, 4 Sm 3.56, 4 Tm 3.59
Tm  0.0000  0.0000  0.5000  4 Nd 3.56, 4 Sm 3.56, 4 Tm 3.59
Sm  0.5000  0.5000  0.5000  8 Tm 3.56, 4 Nd 3.59

# 12
# Ru2RhCl

A relaxed Ru2RhCl crystal (PBE, Alexandria via LeMat-Bulk).

## Properties
**Energy above the lowest structure with this stoichiometry**: 179 kJ/mol of formula units
**Size of the total moment**: 0.00 Bohr magnetons per cell
**Symmetry**: Pmmm (47)

Lattice parameters (Å, degrees): 2.7716 4.6120 4.6225 90.00 90.00 90.00
Last column: nearest neighbours and their distance in Å.
Atoms (fractional coordinates):
Ru  0.5000  0.5000  0.0000  6 Ru 2.69-2.77, 4 Rh 2.69
Ru  0.0000  0.0000  0.0000  6 Ru 2.69-2.77, 4 Cl 2.69
Cl  0.5000  0.0000  0.5000  4 Rh 2.69, 4 Ru 2.69, 2 Cl 2.77
Rh  0.0000  0.5000  0.5000  4 Cl 2.69, 4 Ru 2.69, 2 Rh 2.77